1 | A plane-wave DFT calculation with PBE was carried out for an optimized crystal structure of Dy3Er6Mg.

Magnetization = 0.00 μB per formula unit
D(E_F) = 24.880 states/eV/cell
SG = Cmc2_1, No. 36

Cell: 8.895 8.758 8.758 Å, 116.37 90.00 90.00°
Sites, in units of the cell vectors:
Dy  0.934  0.678  0.968
Er  0.270  0.173  0.477
Er  0.270  0.523  0.827
Er  0.770  0.827  0.523
Er  0.601  0.158  0.289
Er  0.101  0.289  0.158
Er  0.601  0.711  0.842
Er  0.157  0.708  0.292
Dy  0.918  0.461  0.539
Dy  0.434  0.322  0.032
Mg  0.015  0.233  0.767
Dy  0.418  0.539  0.461
Er  0.785  0.062  0.938
Er  0.657  0.292  0.708
Er  0.101  0.842  0.711
Er  0.770  0.477  0.173
Dy  0.934  0.032  0.322
Er  0.285  0.938  0.062
Dy  0.434  0.968  0.678
Mg  0.515  0.767  0.233

2 | A plane-wave DFT calculation with PBE was carried out for an optimized crystal structure of Dy3Er6Mg.

Magnetization = 0.00 μB per formula unit
D(E_F) = 26.938 states/eV/cell
SG = P2_1/m, No. 11

Cell: 4.964 11.012 11.068 Å, 90.28 90.00 90.00°
Sites, in units of the cell vectors:
Dy  0.750  0.449  0.600
Er  0.750  0.754  0.501
Dy  0.250  0.348  0.797
Dy  0.750  0.652  0.203
Dy  0.750  0.248  0.997
Er  0.250  0.049  0.900
Er  0.750  0.147  0.695
Er  0.750  0.347  0.300
Er  0.750  0.951  0.100
Dy  0.250  0.551  0.400
Er  0.750  0.850  0.803
Er  0.250  0.246  0.499
Er  0.750  0.551  0.898
Er  0.250  0.449  0.102
Er  0.250  0.653  0.700
Mg  0.750  0.049  0.401
Mg  0.250  0.951  0.599
Dy  0.250  0.752  0.003
Er  0.250  0.150  0.197
Er  0.250  0.853  0.305

Most stable structure, least stable structure: 2, 1.